A plane-wave DFT calculation with PBE was carried out for crystalline Zn2CuSe at its relaxed geometry.

Lattice parameters (Å, degrees): 6.3830 6.3830 6.1199 58.57 58.57 90.00
Fractional coordinates of all 8 atoms:
Zn  0.6218  0.1250  0.2500
Zn  0.1282  0.6250  0.2500
Zn  0.3750  0.3782  0.7500
Zn  0.8750  0.8718  0.7500
Cu  0.5000  0.5000  0.0000
Cu  0.2500  0.7500  0.5000
Se  0.0000  0.0000  0.0000
Se  0.7500  0.2500  0.5000

Properties
Its raw formation energy is 0.15 eV per atom.

A plane-wave DFT calculation with PBE was carried out for crystalline HfAlRu at its relaxed geometry.

Lattice parameters (Å, degrees): 4.5023 4.5023 5.6145 90.00 90.00 120.00
Fractional coordinates of all 6 atoms:
Ru  0.0000  0.0000  0.0590
Ru  0.6667  0.3333  0.7130
Hf  0.3333  0.6667  0.8932
Hf  0.0000  0.0000  0.5524
Al  0.6667  0.3333  0.2076
Al  0.3333  0.6667  0.3790

Properties
For the formation energy, the calculation gives -1.75 eV per formula unit.

Number 1: DOS(E_F) 4.590 states/eV/cell, M_tot 0.00 μB per formula unit. Number 2: DOS(E_F) 0.611 states/eV/cell, M_tot 0.00 μB per formula unit.